# GGA-PBE Ho2TmCdC, relaxed
# SG: No. 123
# Formation energy from the elements in eV per formula unit: -1.654
data_Ho2TmCdC
_cell_length_a 4.8167
_cell_length_b 4.9196
_cell_length_c 4.9196
_cell_angle_alpha 90.00
_cell_angle_beta 90.00
_cell_angle_gamma 90.00
_space_group_name_H-M_alt 'P 1'
_space_group_IT_number 1
_space_group_name_Hall 'P 1'
loop_
_atom_site_label
_atom_site_type_symbol
_atom_site_fract_x
_atom_site_fract_y
_atom_site_fract_z
_atom_site_occupancy
Ho1 Ho 0.0000 0.0000 0.5000 1
Ho2 Ho 0.0000 0.5000 0.0000 1
Tm1 Tm 0.5000 0.0000 0.0000 1
Cd1 Cd 0.5000 0.5000 0.5000 1
C1 C 0.0000 0.0000 0.0000 1

***

# GGA-PBE MnHPd3, relaxed
# SG: No. 63
# ΔE to the lowest computed polymorph in eV per atom: 0.235
data_MnHPd3
_cell_length_a 5.2546
_cell_length_b 5.2546
_cell_length_c 5.5302
_cell_angle_alpha 90.00
_cell_angle_beta 90.00
_cell_angle_gamma 118.03
_space_group_name_H-M_alt 'P 1'
_space_group_IT_number 1
_space_group_name_Hall 'P 1'
loop_
_atom_site_label
_atom_site_type_symbol
_atom_site_fract_x
_atom_site_fract_y
_atom_site_fract_z
_atom_site_occupancy
H1 H 0.1364 0.8636 0.2500 1
H2 H 0.8636 0.1364 0.7500 1
Mn1 Mn 0.5259 0.4741 0.2500 1
Mn2 Mn 0.4741 0.5259 0.7500 1
Pd1 Pd 0.5208 0.9780 0.2500 1
Pd2 Pd 0.0220 0.4792 0.2500 1
Pd3 Pd 0.9780 0.5208 0.7500 1
Pd4 Pd 0.4792 0.0220 0.7500 1
Pd5 Pd 0.0000 0.0000 0.0000 1
Pd6 Pd 0.0000 0.0000 0.5000 1

***

# GGA-PBE SnBiIr3, relaxed
# SG: No. 221
# ΔE to the lowest computed polymorph in eV per atom: 0.365
# Formation energy from the elements in eV per formula unit: 8.898
data_SnBiIr3
_cell_length_a 5.0262
_cell_length_b 5.0262
_cell_length_c 5.0262
_cell_angle_alpha 90.00
_cell_angle_beta 90.00
_cell_angle_gamma 90.00
_space_group_name_H-M_alt 'P 1'
_space_group_IT_number 1
_space_group_name_Hall 'P 1'
loop_
_atom_site_label
_atom_site_type_symbol
_atom_site_fract_x
_atom_site_fract_y
_atom_site_fract_z
_atom_site_occupancy
Ir1 Ir 0.0000 0.5000 0.0000 1
Ir2 Ir 0.0000 0.0000 0.5000 1
Ir3 Ir 0.5000 0.0000 0.0000 1
Bi1 Bi 0.0000 0.0000 0.0000 1
Sn1 Sn 0.5000 0.5000 0.5000 1

***

# GGA-PBE Ti4CoRe, relaxed
# SG: No. 166
# Formation energy from the elements in eV per formula unit: 0.445
data_Ti4CoRe
_cell_length_a 4.3656
_cell_length_b 4.3653
_cell_length_c 6.8248
_cell_angle_alpha 71.34
_cell_angle_beta 71.35
_cell_angle_gamma 60.00
_space_group_name_H-M_alt 'P 1'
_space_group_IT_number 1
_space_group_name_Hall 'P 1'
loop_
_atom_site_label
_atom_site_type_symbol
_atom_site_fract_x
_atom_site_fract_y
_atom_site_fract_z
_atom_site_occupancy
Ti1 Ti 0.6296 0.6295 0.1113 1
Ti2 Ti 0.3704 0.3705 0.8887 1
Ti3 Ti 0.1213 0.1213 0.6361 1
Ti4 Ti 0.8787 0.8787 0.3639 1
Co1 Co 0.0000 0.0000 0.0000 1
Re1 Re 0.5000 0.5000 0.5000 1

***

# GGA-PBE PRhSN2, relaxed
# Uncorrected formation energy in eV/atom: 1.33
# SG: No. 123
# ΔE to the lowest computed polymorph in eV per atom: 0.552
data_PRhSN2
_cell_length_a 3.7638
_cell_length_b 3.7638
_cell_length_c 5.1253
_cell_angle_alpha 90.00
_cell_angle_beta 90.00
_cell_angle_gamma 90.00
_space_group_name_H-M_alt 'P 1'
_space_group_IT_number 1
_space_group_name_Hall 'P 1'
loop_
_atom_site_label
_atom_site_type_symbol
_atom_site_fract_x
_atom_site_fract_y
_atom_site_fract_z
_atom_site_occupancy
P1 P 0.5000 0.5000 0.5000 1
S1 S 0.0000 0.0000 0.5000 1
Rh1 Rh 0.0000 0.0000 0.0000 1
N1 N 0.0000 0.5000 0.0000 1
N2 N 0.5000 0.0000 0.0000 1

***

# GGA-PBE Sr2LiIrSe, relaxed
# Uncorrected formation energy in eV/atom: -0.49
# SG: No. 123
data_Sr2LiIrSe
_cell_length_a 5.6628
_cell_length_b 5.6628
_cell_length_c 4.6308
_cell_angle_alpha 90.00
_cell_angle_beta 90.00
_cell_angle_gamma 90.00
_space_group_name_H-M_alt 'P 1'
_space_group_IT_number 1
_space_group_name_Hall 'P 1'
loop_
_atom_site_label
_atom_site_type_symbol
_atom_site_fract_x
_atom_site_fract_y
_atom_site_fract_z
_atom_site_occupancy
Sr1 Sr 0.0000 0.5000 0.0000 1
Sr2 Sr 0.5000 0.0000 0.0000 1
Ir1 Ir 0.0000 0.0000 0.0000 1
Se1 Se 0.5000 0.5000 0.5000 1
Li1 Li 0.0000 0.0000 0.5000 1

***

# GGA-PBE ZnMo3Os, relaxed
# SG: No. 221
# ΔE to the lowest computed polymorph in eV per atom: 0.250
# Formation energy from the elements in eV per formula unit: 9.341
data_ZnMo3Os
_cell_length_a 4.4606
_cell_length_b 4.4606
_cell_length_c 4.4606
_cell_angle_alpha 90.00
_cell_angle_beta 90.00
_cell_angle_gamma 90.00
_space_group_name_H-M_alt 'P 1'
_space_group_IT_number 1
_space_group_name_Hall 'P 1'
loop_
_atom_site_label
_atom_site_type_symbol
_atom_site_fract_x
_atom_site_fract_y
_atom_site_fract_z
_atom_site_occupancy
Mo1 Mo 0.0000 0.5000 0.0000 1
Mo2 Mo 0.0000 0.0000 0.5000 1
Mo3 Mo 0.5000 0.0000 0.0000 1
Os1 Os 0.5000 0.5000 0.5000 1
Zn1 Zn 0.0000 0.0000 0.0000 1

***

# GGA-PBE In2TcAs, relaxed
# SG: No. 65
# Formation energy from the elements in eV per formula unit: 1.530
data_In2TcAs
_cell_length_a 5.1668
_cell_length_b 5.1668
_cell_length_c 3.0056
_cell_angle_alpha 90.01
_cell_angle_beta 90.01
_cell_angle_gamma 105.93
_space_group_name_H-M_alt 'P 1'
_space_group_IT_number 1
_space_group_name_Hall 'P 1'
loop_
_atom_site_label
_atom_site_type_symbol
_atom_site_fract_x
_atom_site_fract_y
_atom_site_fract_z
_atom_site_occupancy
As1 As 0.0000 0.5000 0.5000 1
Tc1 Tc 0.5000 0.0000 0.5000 1
In1 In 0.0000 0.0000 0.0000 1
In2 In 0.5000 0.5000 0.0000 1

***

| no. | calculated total energy (eV/cell) |
| --- | --- |
| 1 | -25.420 |
| 2 | -56.127 |
| 3 | -25.568 |
| 4 | -50.688 |
| 5 | -26.886 |
| 6 | -20.060 |
| 7 | -35.656 |
| 8 | -18.962 |